DFT (PBE-GGA) results for BaSn2Hg after structural relaxation.

Computed properties:
As for the final energy: -3.0174 eV/atom. Its space-group type is Cmcm.

Lattice parameters (Å, degrees): 7.524 7.524 5.240 90.00 90.00 121.98
Element x y z (fractional)
Ba 0.331 0.669 0.250
Ba 0.669 0.331 0.750
Hg 0.840 0.160 0.250
Hg 0.160 0.840 0.750
Sn 0.276 0.143 0.250
Sn 0.857 0.724 0.250
Sn 0.143 0.276 0.750
Sn 0.724 0.857 0.750

=====

DFT (PBE-GGA) results for BaSnHg2 after structural relaxation.

Computed properties:
As for the final energy: -1.9590 eV/atom. Its space-group type is F-43m.

Lattice parameters (Å, degrees): 5.557 5.557 5.557 60.00 60.00 60.00
Element x y z (fractional)
Ba 0.250 0.250 0.250
Hg 0.000 0.000 0.000
Hg 0.750 0.750 0.750
Sn 0.500 0.500 0.500

=====

DFT (PBE-GGA) results for BaZnSn2Hg after structural relaxation.

Computed properties:
Its offset from the most stable computed form is 27 meV/atom. Its space-group type is I-4m2.

Lattice parameters (Å, degrees): 6.775 6.775 6.775 136.53 136.53 63.16
Element x y z (fractional)
Ba 0.000 0.000 0.000
Hg 0.750 0.250 0.500
Sn 0.375 0.375 0.000
Sn 0.625 0.625 0.000
Zn 0.250 0.750 0.500

=====

DFT (PBE-GGA) results for BaZnSn2Hg after structural relaxation.

Computed properties:
Its offset from the most stable computed form is 0 meV/atom. Its space-group type is P4/nmm.

Lattice parameters (Å, degrees): 4.911 4.911 11.858 90.00 90.00 90.00
Element x y z (fractional)
Ba 0.000 0.500 0.233
Ba 0.500 0.000 0.767
Hg 0.500 0.000 0.352
Hg 0.000 0.500 0.648
Sn 0.500 0.000 0.113
Sn 0.000 0.000 0.500
Sn 0.500 0.500 0.500
Sn 0.000 0.500 0.887
Zn 0.000 0.000 0.000
Zn 0.500 0.500 0.000

=====

DFT (PBE-GGA) results for Ba2ZnSn2Hg after structural relaxation.

Computed properties:
As for the final energy: -2.7802 eV/atom. Its space-group type is P-6m2.

Lattice parameters (Å, degrees): 4.883 4.883 9.825 90.00 90.00 120.00
Element x y z (fractional)
Ba 0.000 0.000 0.253
Ba 0.000 0.000 0.747
Hg 0.333 0.667 0.000
Sn 0.667 0.333 0.000
Sn 0.333 0.667 0.500
Zn 0.667 0.333 0.500

=====

DFT (PBE-GGA) results for BaSrHg6 after structural relaxation.

Computed properties:
As for the final energy: -1.0829 eV/atom. Its space-group type is P-6m2.

Lattice parameters (Å, degrees): 7.004 7.004 5.357 90.00 90.00 120.00
Element x y z (fractional)
Ba 0.000 0.000 0.500
Hg 0.358 0.179 0.000
Hg 0.821 0.179 0.000
Hg 0.821 0.642 0.000
Hg 0.506 0.013 0.500
Hg 0.506 0.494 0.500
Hg 0.987 0.494 0.500
Sr 0.333 0.667 0.000

=====

DFT (PBE-GGA) results for BaSrHg after structural relaxation.

Computed properties:
Its offset from the most stable computed form is 98 meV/atom. Its space-group type is F-43m.

Lattice parameters (Å, degrees): 5.738 5.738 5.738 60.00 60.00 60.00
Element x y z (fractional)
Ba 0.250 0.250 0.250
Hg 0.000 0.000 0.000
Sr 0.750 0.750 0.750

=====

DFT (PBE-GGA) results for BaSrHg after structural relaxation.

Computed properties:
Its offset from the most stable computed form is 0 meV/atom. Its space-group type is I4mm.

Lattice parameters (Å, degrees): 7.885 7.885 7.885 149.61 149.61 43.51
Element x y z (fractional)
Ba 0.625 0.625 0.000
Hg 0.268 0.268 0.000
Sr 0.891 0.891 0.000

=====

DFT (PBE-GGA) results for BaSr3Hg2 after structural relaxation.

Computed properties:
As for the final energy: -1.6381 eV/atom. Its space-group type is P4mm.

Lattice parameters (Å, degrees): 4.078 4.078 14.425 90.00 90.00 90.00
Element x y z (fractional)
Ba 0.500 0.500 0.136
Hg 0.500 0.500 0.501
Hg 0.000 0.000 0.992
Sr 0.000 0.000 0.372
Sr 0.000 0.000 0.635
Sr 0.500 0.500 0.864

=====

DFT (PBE-GGA) results for BaSrHg after structural relaxation.

Computed properties:
Its offset from the most stable computed form is 3 meV/atom. Its space-group type is P4/mmm.

Lattice parameters (Å, degrees): 4.138 4.138 14.667 90.00 90.00 90.00
Element x y z (fractional)
Ba 0.000 0.000 0.138
Ba 0.000 0.000 0.862
Hg 0.500 0.500 0.000
Hg 0.000 0.000 0.500
Sr 0.500 0.500 0.372
Sr 0.500 0.500 0.628

=====

DFT (PBE-GGA) results for BaSrTlHg after structural relaxation.

Computed properties:
Its offset from the most stable computed form is 247 meV/atom. Its space-group type is F-43m.

Lattice parameters (Å, degrees): 5.725 5.725 5.725 60.00 60.00 60.00
Element x y z (fractional)
Ba 0.750 0.750 0.750
Hg 0.000 0.000 0.000
Sr 0.500 0.500 0.500
Tl 0.250 0.250 0.250

=====

DFT (PBE-GGA) results for BaSrTlHg after structural relaxation.

Computed properties:
Its offset from the most stable computed form is 0 meV/atom. Its space-group type is F-43m.

Lattice parameters (Å, degrees): 5.826 5.826 5.826 60.00 60.00 60.00
Element x y z (fractional)
Ba 0.750 0.750 0.750
Hg 0.000 0.000 0.000
Sr 0.250 0.250 0.250
Tl 0.500 0.500 0.500